Entry 1:
Entry from Alexandria via LeMat-Bulk: crystalline Ta2AlCr at its relaxed geometry (PBE).

abc: 5.206 5.206 2.746
angles: 99.10 99.10 115.84
Fractional coordinates of all 4 atoms:
Ta1 0.000 0.500 0.000
Ta2 0.500 0.000 0.000
Al1 0.000 0.000 0.500
Cr1 0.500 0.500 0.500

Computed properties:
The crystal system is monoclinic. The calculation puts the uncorrected energy at -0.339 Ha/atom.

***

Entry 2:
Entry from Alexandria via LeMat-Bulk: crystalline Ta2AlCr at its relaxed geometry (PBE).

abc: 2.827 2.827 8.617
angles: 90.00 90.00 110.43
Fractional coordinates of all 4 atoms:
Ta1 0.000 0.000 0.234
Ta2 0.000 0.000 0.766
Al1 0.500 0.500 0.500
Cr1 0.500 0.500 0.000

Computed properties:
The crystal system is orthorhombic. The calculation puts the uncorrected energy at -0.341 Ha/atom.

***

Entry 3:
Entry from Alexandria via LeMat-Bulk: crystalline Ta2AlCr at its relaxed geometry (PBE).

abc: 5.115 5.115 5.115
angles: 141.78 128.07 66.28
Fractional coordinates of all 4 atoms:
Ta1 0.229 0.229 0.000
Ta2 0.771 0.771 0.000
Al1 0.500 0.000 0.500
Cr1 0.000 0.500 0.500

Computed properties:
The crystal system is orthorhombic. The calculation puts the uncorrected energy at -0.343 Ha/atom.

***

Entry 4:
Entry from Alexandria via LeMat-Bulk: crystalline Ta2AlCr at its relaxed geometry (PBE).

abc: 3.257 3.257 6.016
angles: 90.00 90.00 90.00
Fractional coordinates of all 4 atoms:
Ta1 0.000 0.000 0.000
Ta2 0.500 0.500 0.277
Al1 0.000 0.000 0.541
Cr1 0.500 0.500 0.754

Computed properties:
The crystal system is tetragonal. The calculation puts the uncorrected energy at -0.341 Ha/atom.

***

Entry 5:
Entry from Alexandria via LeMat-Bulk: crystalline Ta2AlCr at its relaxed geometry (PBE).

abc: 4.661 4.661 4.661
angles: 126.16 126.16 79.63
Fractional coordinates of all 4 atoms:
Ta1 0.250 0.750 0.500
Ta2 0.750 0.250 0.500
Al1 0.000 0.000 0.000
Cr1 0.500 0.500 0.000

Computed properties:
The crystal system is tetragonal. The calculation puts the uncorrected energy at -0.340 Ha/atom.

***

Entry 6:
Entry from Alexandria via LeMat-Bulk: crystalline Ta2AlCr at its relaxed geometry (PBE).

abc: 5.156 5.156 5.156
angles: 136.56 136.56 63.12
Fractional coordinates of all 4 atoms:
Ta1 0.000 0.000 0.000
Ta2 0.750 0.250 0.500
Al1 0.250 0.750 0.500
Cr1 0.500 0.500 0.000

Computed properties:
The crystal system is tetragonal. The calculation puts the uncorrected energy at -0.339 Ha/atom.

***

Entry 7:
Entry from Alexandria via LeMat-Bulk: crystalline TaAl2Cr at its relaxed geometry (PBE).

abc: 5.638 5.638 5.638
angles: 102.89 102.89 123.63
Fractional coordinates of all 8 atoms:
Ta1 0.000 0.000 0.000
Ta2 0.750 0.250 0.500
Al1 0.149 0.625 0.024
Al2 0.375 0.399 0.524
Al3 0.601 0.125 0.976
Al4 0.875 0.851 0.476
Cr1 0.250 0.750 0.500
Cr2 0.500 0.500 0.000

Computed properties:
The crystal system is tetragonal. The energy above the most stable polymorph in this dataset is 521 meV/atom.

***

Entry 8:
Entry from Alexandria via LeMat-Bulk: crystalline TaAl2Cr at its relaxed geometry (PBE).

abc: 9.135 9.135 9.135
angles: 17.90 17.90 17.90
Fractional coordinates of all 4 atoms:
Ta1 0.000 0.000 0.000
Al1 0.244 0.244 0.244
Al2 0.756 0.756 0.756
Cr1 0.500 0.500 0.500

Computed properties:
The crystal system is trigonal. The energy above the most stable polymorph in this dataset is 203 meV/atom.

***

Entry 9:
Entry from Alexandria via LeMat-Bulk: crystalline TaAl2Cr at its relaxed geometry (PBE).

abc: 5.015 5.015 5.015
angles: 140.45 129.70 65.81
Fractional coordinates of all 4 atoms:
Ta1 0.000 0.000 0.000
Al1 0.265 0.765 0.500
Al2 0.526 0.526 0.000
Cr1 0.773 0.273 0.500

Computed properties:
The crystal system is orthorhombic. The energy above the most stable polymorph in this dataset is 59 meV/atom.

***

Entry 10:
Entry from Alexandria via LeMat-Bulk: crystalline TaAl2Cr at its relaxed geometry (PBE).

abc: 5.056 5.056 4.243
angles: 114.65 114.65 37.92
Fractional coordinates of all 4 atoms:
Ta1 0.000 0.000 0.000
Al1 0.238 0.238 0.738
Al2 0.762 0.762 0.262
Cr1 0.500 0.500 0.500

Computed properties:
The crystal system is monoclinic. The energy above the most stable polymorph in this dataset is 17 meV/atom.

***

Entry 11:
Entry from Alexandria via LeMat-Bulk: crystalline TaAl2Cr at its relaxed geometry (PBE).

abc: 4.380 4.380 4.380
angles: 60.00 60.00 60.00
Fractional coordinates of all 4 atoms:
Ta1 0.000 0.000 0.000
Al1 0.250 0.250 0.250
Al2 0.500 0.500 0.500
Cr1 0.750 0.750 0.750

Computed properties:
The crystal system is cubic. The energy above the most stable polymorph in this dataset is 77 meV/atom.

***

Entry 12:
Entry from Alexandria via LeMat-Bulk: crystalline Ta2AlCr at its relaxed geometry (PBE).

abc: 4.484 4.484 4.484
angles: 60.00 60.00 60.00
Fractional coordinates of all 4 atoms:
Ta1 0.000 0.000 0.000
Ta2 0.250 0.250 0.250
Al1 0.500 0.500 0.500
Cr1 0.750 0.750 0.750

Computed properties:
The crystal system is cubic. The calculation puts the uncorrected energy at -0.337 Ha/atom.

***

| no. | size of the total moment (Bohr magnetons per cell) |
| --- | --- |
| 1 | 0.07 |
| 2 | 0.00 |
| 3 | 0.00 |
| 4 | 0.00 |
| 5 | 0.00 |
| 6 | 0.00 |
| 7 | 2.69 |
| 8 | 1.73 |
| 9 | 0.51 |
| 10 | 0.00 |
| 11 | 0.90 |
| 12 | 0.26 |